1:
ReSnS2N: optimized geometry, PBE-GGA.

Properties
- Size of the total moment: 4.411 Bohr magnetons per cell

Lattice parameters (Å, degrees): 5.055 5.055 3.899 90.00 90.00 90.00
Fractional positions:
Re1 0.000 0.000 0.000
Sn1 0.500 0.500 0.500
S1 0.000 0.500 0.500
S2 0.500 0.000 0.500
N1 0.500 0.500 0.000

***

2:
ReSnS2N: optimized geometry, PBE-GGA.

Properties
- Size of the total moment: 0.000 Bohr magnetons per cell

Lattice parameters (Å, degrees): 4.895 4.895 3.770 90.00 90.00 90.00
Fractional positions:
Re1 0.000 0.000 0.000
Sn1 0.500 0.500 0.500
S1 0.000 0.500 0.000
S2 0.500 0.000 0.000
N1 0.000 0.000 0.500

***

The energy of each structure relative to the most stable one, in meV per atom, is as follows: 1 1563; 2 0.

***

1:
SrReS2N: optimized geometry, PBE-GGA.

Properties
- Size of the total moment: 0.893 Bohr magnetons per cell

Lattice parameters (Å, degrees): 4.933 4.933 3.822 90.00 90.00 90.00
Fractional positions:
Sr1 0.000 0.000 0.000
Re1 0.500 0.500 0.500
S1 0.000 0.500 0.500
S2 0.500 0.000 0.500
N1 0.500 0.500 0.000

***

2:
SrReS2N: optimized geometry, PBE-GGA.

Properties
- Size of the total moment: 1.989 Bohr magnetons per cell

Lattice parameters (Å, degrees): 5.525 5.525 4.692 90.00 90.00 90.00
Fractional positions:
Sr1 0.000 0.000 0.000
Re1 0.500 0.500 0.500
S1 0.000 0.500 0.000
S2 0.500 0.000 0.000
N1 0.000 0.000 0.500

***

The energy of each structure relative to the most stable one, in meV per atom, is as follows: 1 0; 2 2478.